Run w
First-principles (PBE-GGA) data for an optimized crystal structure of MgBi3O, as listed in Alexandria via LeMat-Bulk.

Values from the calculation:
N(E_F)   10.02 states/eV/cell

a = 5.411 Å, b = 5.411 Å, c = 5.411 Å
α = 90.00°, β = 90.00°, γ = 90.00°
Space group Pm-3m (No. 221)
Inequivalent atoms, fractional coordinates:
Mg  0.000  0.000  0.000 (multiplicity 1)
Bi  0.000  0.000  0.500 (multiplicity 3)
O  0.500  0.500  0.500 (multiplicity 1)

***

Run x
First-principles (PBE-GGA) data for an optimized crystal structure of MgBi3O, as listed in Alexandria via LeMat-Bulk.

Values from the calculation:
N(E_F)   3.68 states/eV/cell

a = 4.989 Å, b = 4.989 Å, c = 4.989 Å
α = 90.00°, β = 90.00°, γ = 90.00°
Space group Pm-3m (No. 221)
Inequivalent atoms, fractional coordinates:
Mg  0.000  0.000  0.000 (multiplicity 1)
Bi  0.000  0.500  0.500 (multiplicity 3)
O  0.500  0.500  0.500 (multiplicity 1)

***

Which structure loses on stability? run w does.

***

Run w
First-principles (PBE-GGA) data for an optimized crystal structure of Mg2Bi3O8, as listed in Alexandria via LeMat-Bulk.

Values from the calculation:
N(E_F)   7.79 states/eV/cell

a = 10.660 Å, b = 6.951 Å, c = 5.797 Å
α = 90.00°, β = 113.39°, γ = 90.00°
Space group C2/m (No. 12)
Inequivalent atoms, fractional coordinates:
Mg  0.173  0.000  0.145 (multiplicity 4)
Bi  0.000  0.233  0.500 (multiplicity 4)
Bi  0.000  0.500  0.000 (multiplicity 2)
O  0.112  0.240  0.262 (multiplicity 8)
O  0.119  0.500  0.723 (multiplicity 4)
O  0.120  0.000  0.755 (multiplicity 4)

***

Run x
First-principles (PBE-GGA) data for an optimized crystal structure of Mg2Bi3O8, as listed in Alexandria via LeMat-Bulk.

Values from the calculation:
N(E_F)   17.78 states/eV/cell

a = 6.8804 Å, b = 6.8804 Å, c = 9.1257 Å
α = 90.00°, β = 90.00°, γ = 120.00°
Space group P6_3mc (No. 186)
Inequivalent atoms, fractional coordinates:
Mg  0.3333  0.6667  0.0000 (multiplicity 2)
Mg  0.3333  0.6667  0.3265 (multiplicity 2)
Bi  0.1680  0.3359  0.7113 (multiplicity 6)
O  0.0000  0.0000  0.3312 (multiplicity 2)
O  0.0519  0.5260  0.8554 (multiplicity 6)
O  0.1953  0.3907  0.1415 (multiplicity 6)
O  0.3333  0.6667  0.5682 (multiplicity 2)

***

Which structure loses on stability? run w does.

***

Run w
First-principles (PBE-GGA) data for an optimized crystal structure of MgBi2O2, as listed in Alexandria via LeMat-Bulk.

Values from the calculation:
N(E_F)   6.55 states/eV/cell

a = 4.180 Å, b = 4.180 Å, c = 11.966 Å
α = 90.00°, β = 90.00°, γ = 90.00°
Space group I4/mmm (No. 139)
Inequivalent atoms, fractional coordinates:
Mg  0.000  0.000  0.000 (multiplicity 2)
Bi  0.000  0.000  0.349 (multiplicity 4)
O  0.000  0.500  0.250 (multiplicity 4)

***

Run x
First-principles (PBE-GGA) data for an optimized crystal structure of MgBi2O2, as listed in Alexandria via LeMat-Bulk.

Values from the calculation:
N(E_F)   1.65 states/eV/cell

a = 8.351 Å, b = 8.351 Å, c = 3.412 Å
α = 90.00°, β = 90.00°, γ = 90.00°
Space group P4/mbm (No. 127)
Inequivalent atoms, fractional coordinates:
Mg  0.000  0.000  0.000 (multiplicity 2)
Bi  0.219  0.281  0.000 (multiplicity 4)
O  0.163  0.663  0.500 (multiplicity 4)

***

Which structure loses on stability? run x does.

***

Run w
First-principles (PBE-GGA) data for an optimized crystal structure of PrMgBi2O6, as listed in Alexandria via LeMat-Bulk.

Values from the calculation:
N(E_F)   6.39 states/eV/cell

a = 8.598 Å, b = 6.458 Å, c = 5.782 Å
α = 90.00°, β = 90.00°, γ = 90.00°
Space group Pmn2_1 (No. 31)
Inequivalent atoms, fractional coordinates:
Pr  0.000  0.171  0.000 (multiplicity 2)
Mg  0.000  0.908  0.491 (multiplicity 2)
Bi  0.240  0.722  0.968 (multiplicity 4)
O  0.000  0.221  0.593 (multiplicity 2)
O  0.000  0.810  0.818 (multiplicity 2)
O  0.173  0.959  0.265 (multiplicity 4)
O  0.187  0.416  0.125 (multiplicity 4)

***

Run x
First-principles (PBE-GGA) data for an optimized crystal structure of PrMgBi2O6, as listed in Alexandria via LeMat-Bulk.

Values from the calculation:
N(E_F)   10.45 states/eV/cell

a = 5.843 Å, b = 5.843 Å, c = 8.605 Å
α = 90.00°, β = 90.00°, γ = 90.00°
Space group P4/mnc (No. 128)
Inequivalent atoms, fractional coordinates:
Pr  0.000  0.000  0.000 (multiplicity 2)
Mg  0.000  0.000  0.500 (multiplicity 2)
Bi  0.000  0.500  0.250 (multiplicity 4)
O  0.000  0.000  0.266 (multiplicity 4)
O  0.132  0.333  0.500 (multiplicity 8)

***

Run y
First-principles (PBE-GGA) data for an optimized crystal structure of PrMgBi2O6, as listed in Alexandria via LeMat-Bulk.

Values from the calculation:
N(E_F)   33.33 states/eV/cell

a = 8.442 Å, b = 8.442 Å, c = 8.442 Å
α = 90.00°, β = 90.00°, γ = 90.00°
Space group Fm-3m (No. 225)
Inequivalent atoms, fractional coordinates:
Pr  0.000  0.000  0.000 (multiplicity 4)
Mg  0.000  0.000  0.500 (multiplicity 4)
Bi  0.250  0.250  0.250 (multiplicity 8)
O  0.000  0.000  0.266 (multiplicity 24)

***

Which structure loses on stability? run y does.

***

Run w
First-principles (PBE-GGA) data for an optimized crystal structure of Mg2BiRuO, as listed in Alexandria via LeMat-Bulk.

Values from the calculation:
N(E_F)   1.06 states/eV/cell

a = 5.386 Å, b = 5.386 Å, c = 3.678 Å
α = 90.00°, β = 90.00°, γ = 90.00°
Space group P4/mmm (No. 123)
Inequivalent atoms, fractional coordinates:
Mg  0.000  0.500  0.000 (multiplicity 2)
Bi  0.000  0.000  0.500 (multiplicity 1)
Ru  0.500  0.500  0.000 (multiplicity 1)
O  0.500  0.500  0.500 (multiplicity 1)

***

Run x
First-principles (PBE-GGA) data for an optimized crystal structure of Mg2BiRuO, as listed in Alexandria via LeMat-Bulk.

Values from the calculation:
N(E_F)   2.87 states/eV/cell

a = 4.904 Å, b = 4.904 Å, c = 5.018 Å
α = 90.00°, β = 90.00°, γ = 90.00°
Space group P4/mmm (No. 123)
Inequivalent atoms, fractional coordinates:
Mg  0.000  0.500  0.000 (multiplicity 2)
Bi  0.000  0.000  0.500 (multiplicity 1)
Ru  0.000  0.000  0.000 (multiplicity 1)
O  0.500  0.500  0.500 (multiplicity 1)

***

Which structure loses on stability? run x does.

***

Run w
First-principles (PBE-GGA) data for an optimized crystal structure of Mg2BiSbO6, as listed in Alexandria via LeMat-Bulk.

a = 5.595 Å, b = 8.069 Å, c = 5.606 Å
α = 90.00°, β = 92.22°, γ = 90.00°
Space group P2_1/m (No. 11)
Inequivalent atoms, fractional coordinates:
Mg  0.020  0.250  0.474 (multiplicity 2)
Mg  0.470  0.750  0.987 (multiplicity 2)
Bi  0.000  0.000  0.000 (multiplicity 2)
Sb  0.500  0.000  0.500 (multiplicity 2)
O  0.127  0.750  0.858 (multiplicity 2)
O  0.182  0.569  0.373 (multiplicity 4)
O  0.362  0.072  0.808 (multiplicity 4)
O  0.396  0.250  0.361 (multiplicity 2)

***

Run x
First-principles (PBE-GGA) data for an optimized crystal structure of Mg2BiSbO6, as listed in Alexandria via LeMat-Bulk.

Values from the calculation:
N(E_F)   0.00 states/eV/cell

a = 5.4312 Å, b = 5.4312 Å, c = 14.7187 Å
α = 90.00°, β = 90.00°, γ = 120.00°
Space group R3 (No. 146, hexagonal axes)
Inequivalent atoms, fractional coordinates:
Mg  0.0000  0.0000  0.0000 (multiplicity 3)
Mg  0.0000  0.0000  0.4888 (multiplicity 3)
Bi  0.0000  0.0000  0.2133 (multiplicity 3)
Sb  0.0000  0.0000  0.6953 (multiplicity 3)
O  0.0127  0.3356  0.7585 (multiplicity 9)
O  0.0326  0.6251  0.2693 (multiplicity 9)

***

Which structure loses on stability? run w does.

***

Run w
First-principles (PBE-GGA) data for an optimized crystal structure of Y4MgBi4O12, as listed in Alexandria via LeMat-Bulk.

a = 5.762 Å, b = 5.891 Å, c = 11.134 Å
α = 79.51°, β = 85.98°, γ = 79.76°
Space group P1 (No. 1)
Inequivalent atoms, fractional coordinates:
Y  0.000  0.000  0.000 (multiplicity 1)
Y  0.107  0.930  0.483 (multiplicity 1)
Y  0.466  0.372  0.471 (multiplicity 1)
Y  0.575  0.468  0.009 (multiplicity 1)
Mg  0.939  0.158  0.712 (multiplicity 1)
Bi  0.036  0.485  0.231 (multiplicity 1)
Bi  0.158  0.521  0.809 (multiplicity 1)
Bi  0.499  0.882  0.214 (multiplicity 1)
Bi  0.561  0.805  0.694 (multiplicity 1)
O  0.188  0.677  0.353 (multiplicity 1)
O  0.262  0.277  0.988 (multiplicity 1)
O  0.273  0.104  0.630 (multiplicity 1)
O  0.281  0.717  0.094 (multiplicity 1)
O  0.306  0.159  0.364 (multiplicity 1)
O  0.337  0.630  0.597 (multiplicity 1)
O  0.700  0.586  0.340 (multiplicity 1)
O  0.757  0.175  0.130 (multiplicity 1)
O  0.780  0.711  0.086 (multiplicity 1)
O  0.787  0.142  0.560 (multiplicity 1)
O  0.813  0.333  0.853 (multiplicity 1)
O  0.936  0.858  0.829 (multiplicity 1)

***

Run x
First-principles (PBE-GGA) data for an optimized crystal structure of Y4MgBi4O12, as listed in Alexandria via LeMat-Bulk.

a = 5.958 Å, b = 8.777 Å, c = 6.389 Å
α = 90.00°, β = 92.64°, γ = 90.00°
Space group Pm (No. 6)
Inequivalent atoms, fractional coordinates:
Y  0.000  0.000  0.000 (multiplicity 1)
Y  0.001  0.500  0.958 (multiplicity 1)
Y  0.418  0.000  0.601 (multiplicity 1)
Y  0.435  0.500  0.483 (multiplicity 1)
Mg  0.497  0.000  0.170 (multiplicity 1)
Bi  0.507  0.311  0.936 (multiplicity 2)
Bi  0.965  0.230  0.455 (multiplicity 2)
O  0.121  0.500  0.637 (multiplicity 1)
O  0.152  0.150  0.750 (multiplicity 2)
O  0.262  0.144  0.277 (multiplicity 2)
O  0.299  0.500  0.165 (multiplicity 1)
O  0.592  0.281  0.594 (multiplicity 2)
O  0.635  0.000  0.898 (multiplicity 1)
O  0.776  0.000  0.366 (multiplicity 1)
O  0.850  0.292  0.080 (multiplicity 2)

***

Which structure loses on stability? run x does.

***

Run w
First-principles (PBE-GGA) data for an optimized crystal structure of Mg6ZnBiO8, as listed in Alexandria via LeMat-Bulk.

Values from the calculation:
N(E_F)   1.41 states/eV/cell

a = 4.463 Å, b = 4.463 Å, c = 9.202 Å
α = 90.00°, β = 90.00°, γ = 90.00°
Space group P4/mmm (No. 123)
Inequivalent atoms, fractional coordinates:
Mg  0.000  0.000  0.000 (multiplicity 1)
Mg  0.000  0.500  0.227 (multiplicity 4)
Mg  0.500  0.500  0.000 (multiplicity 1)
Zn  0.000  0.000  0.500 (multiplicity 1)
Bi  0.500  0.500  0.500 (multiplicity 1)
O  0.000  0.000  0.227 (multiplicity 2)
O  0.000  0.500  0.000 (multiplicity 2)
O  0.000  0.500  0.500 (multiplicity 2)
O  0.500  0.500  0.225 (multiplicity 2)

***

Run x
First-principles (PBE-GGA) data for an optimized crystal structure of Mg6ZnBiO8, as listed in Alexandria via LeMat-Bulk.

Values from the calculation:
N(E_F)   2.58 states/eV/cell

a = 4.520 Å, b = 4.520 Å, c = 8.961 Å
α = 90.00°, β = 90.00°, γ = 90.00°
Space group P4/mmm (No. 123)
Inequivalent atoms, fractional coordinates:
Mg  0.000  0.000  0.000 (multiplicity 1)
Mg  0.000  0.000  0.500 (multiplicity 1)
Mg  0.000  0.500  0.231 (multiplicity 4)
Zn  0.500  0.500  0.000 (multiplicity 1)
Bi  0.500  0.500  0.500 (multiplicity 1)
O  0.000  0.000  0.250 (multiplicity 2)
O  0.000  0.500  0.000 (multiplicity 2)
O  0.000  0.500  0.500 (multiplicity 2)
O  0.500  0.500  0.231 (multiplicity 2)

***

Which structure loses on stability? run x does.

***

Run w
First-principles (PBE-GGA) data for an optimized crystal structure of MgBi2P2, as listed in Alexandria via LeMat-Bulk.

Values from the calculation:
N(E_F)   3.64 states/eV/cell

a = 5.438 Å, b = 5.438 Å, c = 9.453 Å
α = 90.00°, β = 90.00°, γ = 90.00°
Space group I4/mmm (No. 139)
Inequivalent atoms, fractional coordinates:
Mg  0.000  0.000  0.000 (multiplicity 2)
Bi  0.000  0.000  0.332 (multiplicity 4)
P  0.000  0.500  0.250 (multiplicity 4)

***

Run x
First-principles (PBE-GGA) data for an optimized crystal structure of MgBi2P2, as listed in Alexandria via LeMat-Bulk.

Values from the calculation:
N(E_F)   5.71 states/eV/cell

a = 7.629 Å, b = 7.629 Å, c = 4.131 Å
α = 90.00°, β = 90.00°, γ = 90.00°
Space group P4/mbm (No. 127)
Inequivalent atoms, fractional coordinates:
Mg  0.000  0.000  0.000 (multiplicity 2)
Bi  0.158  0.342  0.500 (multiplicity 4)
P  0.172  0.672  0.000 (multiplicity 4)

***

Which structure loses on stability? run w does.